No. 1
Below is crystalline CaTe2Cl at its relaxed geometry, with properties calculated at the PBEsol level.

```
data_CaTe2Cl
_chemical_formula_sum 'Ca2 Te4 Cl2'
_cell_length_a 3.758
_cell_length_b 6.145
_cell_length_c 9.902
_cell_angle_alpha 90.00
_cell_angle_beta 90.00
_cell_angle_gamma 90.00
_symmetry_space_group_name_H-M 'I m m 2'
_symmetry_Int_Tables_number 44
loop_
_symmetry_equiv_pos_as_xyz
'x,y,z'
'-x,-y,z'
'-x,y,z'
'x,-y,z'
'x+1/2,y+1/2,z+1/2'
'-x+1/2,-y+1/2,z+1/2'
'-x+1/2,y+1/2,z+1/2'
'x+1/2,-y+1/2,z+1/2'
loop_
_atom_site_label
_atom_site_type_symbol
_atom_site_fract_x
_atom_site_fract_y
_atom_site_fract_z
_atom_site_occupancy
Ca1 Ca 0.000 0.000 0.000 1
Te1 Te 0.000 0.000 0.469 1
Te2 Te 0.000 0.500 0.196 1
Cl1 Cl 0.000 0.500 0.679 1
```

**Magnetization**: 0.0 Bohr magnetons per cell
**N(E_F)**: 4.4 states/eV/cell
**Energy relative to the elements, uncorrected**: -0.879 eV/atom

---

No. 2
Below is crystalline TaZnHg2 at its relaxed geometry, with properties calculated at the PBEsol level.

```
data_TaZnHg2
_chemical_formula_sum 'Ta1 Zn1 Hg2'
_cell_length_a 2.930
_cell_length_b 4.142
_cell_length_c 5.978
_cell_angle_alpha 90.00
_cell_angle_beta 90.00
_cell_angle_gamma 90.00
_symmetry_space_group_name_H-M 'P m m m'
_symmetry_Int_Tables_number 47
loop_
_symmetry_equiv_pos_as_xyz
'x,y,z'
'-x,-y,-z'
'-x,-y,z'
'x,y,-z'
'x,-y,-z'
'-x,y,z'
'-x,y,-z'
'x,-y,z'
loop_
_atom_site_label
_atom_site_type_symbol
_atom_site_fract_x
_atom_site_fract_y
_atom_site_fract_z
_atom_site_occupancy
Ta1 Ta 0.000 0.000 0.000 1
Zn1 Zn 0.000 0.000 0.500 1
Hg1 Hg 0.500 0.500 0.252 1
```

**E_form**: 0.34 eV/atom
**Magnetization**: 0.0 Bohr magnetons per cell
**N(E_F)**: 2.7 states/eV/cell

---

No. 3
Below is crystalline Ni3BSb at its relaxed geometry, with properties calculated at the PBEsol level.

```
data_Ni3BSb
_chemical_formula_sum 'Ni3 B1 Sb1'
_cell_length_a 4.580
_cell_length_b 4.580
_cell_length_c 4.580
_cell_angle_alpha 90.00
_cell_angle_beta 90.00
_cell_angle_gamma 90.00
_symmetry_space_group_name_H-M 'P m -3 m'
_symmetry_Int_Tables_number 221
_symmetry_space_group_name_Hall '-P 4 2 3'
loop_
_atom_site_label
_atom_site_type_symbol
_atom_site_fract_x
_atom_site_fract_y
_atom_site_fract_z
_atom_site_occupancy
Ni1 Ni 0.000 0.000 0.500 1
B1 B 0.500 0.500 0.500 1
Sb1 Sb 0.000 0.000 0.000 1
```

**Magnetization**: 0.5 Bohr magnetons per cell
**N(E_F)**: 11.1 states/eV/cell
**Energy relative to the elements, uncorrected**: 1.823 eV/atom

---

No. 4
Below is crystalline BeOsBr2 at its relaxed geometry, with properties calculated at the PBEsol level.

```
data_BeOsBr2
_chemical_formula_sum 'Be3 Os3 Br6'
_cell_length_a 3.0983
_cell_length_b 3.0983
_cell_length_c 28.4139
_cell_angle_alpha 90.00
_cell_angle_beta 90.00
_cell_angle_gamma 120.00
_symmetry_space_group_name_H-M 'R -3 m'
_symmetry_Int_Tables_number 166
_symmetry_space_group_name_Hall '-R 3 2"'
loop_
_atom_site_label
_atom_site_type_symbol
_atom_site_fract_x
_atom_site_fract_y
_atom_site_fract_z
_atom_site_occupancy
Be1 Be 0.0000 0.0000 0.0000 1
Os1 Os 0.0000 0.0000 0.5000 1
Br1 Br 0.0000 0.0000 0.2829 1
```

**Magnetization**: 7.0 Bohr magnetons per cell
**N(E_F)**: 3.8 states/eV/cell
**Energy relative to the elements, uncorrected**: 0.856 eV/atom
**Relative energy among the computed polymorphs**: 0.348 eV/atom

---

No. 5
Below is crystalline TaSb2P at its relaxed geometry, with properties calculated at the PBEsol level.

```
data_TaSb2P
_chemical_formula_sum 'Ta1 Sb2 P1'
_cell_length_a 3.635
_cell_length_b 3.505
_cell_length_c 6.323
_cell_angle_alpha 90.00
_cell_angle_beta 99.25
_cell_angle_gamma 90.00
_symmetry_space_group_name_H-M 'P 1 2/m 1'
_symmetry_Int_Tables_number 10
loop_
_symmetry_equiv_pos_as_xyz
'x,y,z'
'-x,-y,-z'
'-x,y,-z'
'x,-y,z'
loop_
_atom_site_label
_atom_site_type_symbol
_atom_site_fract_x
_atom_site_fract_y
_atom_site_fract_z
_atom_site_occupancy
Ta1 Ta 0.000 0.000 0.000 1
Sb1 Sb 0.429 0.500 0.757 1
P1 P 0.000 0.000 0.500 1
```

**Magnetization**: 0.0 Bohr magnetons per cell
**N(E_F)**: 2.1 states/eV/cell
**Energy relative to the elements, uncorrected**: 0.260 eV/atom

---

No. 6
Below is crystalline TaIn2Pb at its relaxed geometry, with properties calculated at the PBEsol level.

```
data_TaIn2Pb
_chemical_formula_sum 'Ta1 In2 Pb1'
_cell_length_a 3.792
_cell_length_b 3.792
_cell_length_c 6.104
_cell_angle_alpha 90.00
_cell_angle_beta 90.00
_cell_angle_gamma 90.00
_symmetry_space_group_name_H-M 'P 4 m m'
_symmetry_Int_Tables_number 99
loop_
_symmetry_equiv_pos_as_xyz
'x,y,z'
'-y,x,z'
'-x,-y,z'
'y,-x,z'
'-x,y,z'
'y,x,z'
'x,-y,z'
'-y,-x,z'
loop_
_atom_site_label
_atom_site_type_symbol
_atom_site_fract_x
_atom_site_fract_y
_atom_site_fract_z
_atom_site_occupancy
Ta1 Ta 0.000 0.000 0.000 1
In1 In 0.000 0.000 0.489 1
In2 In 0.500 0.500 0.238 1
Pb1 Pb 0.500 0.500 0.763 1
```

**E_form**: 0.34 eV/atom
**Magnetization**: 0.0 Bohr magnetons per cell
**N(E_F)**: 1.9 states/eV/cell

---

> Which value of magnetization does entry 1 give?

0.0 Bohr magnetons per cell